## one
## CaMg3Te (PBE)

Data for a relaxed structure of CaMg3Te.

Its crystal system is cubic. The magnetization is 0.00 Bohr magnetons per cell.

It has space group Pm-3m (No. 221), with a = 5.582 Å, b = 5.582 Å, c = 5.582 Å, α = 90.00°, β = 90.00° and γ = 90.00°. The distinct sites, in fractional coordinates, are Ca at (0.000, 0.000, 0.000), Mg at (0.000, 0.500, 0.500) and Te at (0.500, 0.500, 0.500).

## two
## CaMg3Te (PBE)

Data for a relaxed structure of CaMg3Te.

Its crystal system is cubic. The magnetization is 0.00 Bohr magnetons per cell.

It has space group Pm-3m (No. 221), with a = 5.952 Å, b = 5.952 Å, c = 5.952 Å, α = 90.00°, β = 90.00° and γ = 90.00°. The distinct sites, in fractional coordinates, are Ca at (0.000, 0.000, 0.000), Mg at (0.000, 0.000, 0.500) and Te at (0.500, 0.500, 0.500).

Stability ranking, top and bottom: one is the most stable and two is the least stable.

## one
## CaThMg (PBE)

Data for a relaxed structure of CaThMg.

Its crystal system is trigonal. The magnetization is 0.00 Bohr magnetons per cell.

It has space group P3m1 (No. 156), with a = 3.5020 Å, b = 3.5020 Å, c = 8.9770 Å, α = 90.00°, β = 90.00° and γ = 120.00°. The distinct sites, in fractional coordinates, are Ca at (0.0000, 0.0000, 0.0000), Th at (0.6667, 0.3333, 0.3628) and Mg at (0.3333, 0.6667, 0.6813).

## two
## CaThMg (PBE)

Data for a relaxed structure of CaThMg.

Its crystal system is tetragonal. The magnetization is 0.00 Bohr magnetons per cell.

It has space group I4mm (No. 107), with a = 3.504 Å, b = 3.504 Å, c = 15.387 Å, α = 90.00°, β = 90.00° and γ = 90.00°. The distinct sites, in fractional coordinates, are Ca at (0.000, 0.000, 0.000), Th at (0.000, 0.000, 0.312) and Mg at (0.000, 0.000, 0.659).

Stability ranking, top and bottom: two is the most stable and one is the least stable.

## one
## CaMg14Ti (PBE)

Data for a relaxed structure of CaMg14Ti.

Its crystal system is hexagonal. The magnetization is 1.34 Bohr magnetons per cell.

It has space group P-6m2 (No. 187), with a = 6.4891 Å, b = 6.4891 Å, c = 10.2877 Å, α = 90.00°, β = 90.00° and γ = 120.00°. The distinct sites, in fractional coordinates, are Ca at (0.0000, 0.0000, 0.0000), Mg at (0.0096, 0.5048, 0.0000), Mg at (0.1655, 0.3309, 0.2625), Mg at (0.5006, 0.0012, 0.5000), Mg at (0.6667, 0.3333, 0.2447) and Ti at (0.0000, 0.0000, 0.5000).

## two
## CaMg14Ti (PBE)

Data for a relaxed structure of CaMg14Ti.

Its crystal system is orthorhombic. The magnetization is 3.77 Bohr magnetons per cell.

It has space group Amm2 (No. 38), with a = 10.402 Å, b = 6.431 Å, c = 11.255 Å, α = 90.00°, β = 90.00° and γ = 90.00°. The distinct sites, in fractional coordinates, are Ca at (0.000, 0.000, 0.000), Mg at (0.000, 0.248, 0.251), Mg at (0.239, 0.000, 0.658), Mg at (0.251, 0.242, 0.413), Mg at (0.257, 0.000, 0.165), Mg at (0.500, 0.000, 0.497), Mg at (0.500, 0.000, 0.995), Mg at (0.500, 0.247, 0.746) and Ti at (0.000, 0.000, 0.493).

Stability ranking, top and bottom: one is the most stable and two is the least stable.